[1]
Below is a geometry-optimized CeHg2Pd structure, with properties calculated at the PBE level.

Cell lengths 3.582, 3.582, 7.044 Å; angles 90.00, 90.00, 90.00 degrees
Space group P4/mmm (No. 123)
Unique sites:
Ce1 0.000 0.000 0.000 [1 per cell]
Hg1 0.500 0.500 0.290 [2 per cell]
Pd1 0.000 0.000 0.500 [1 per cell]

Output
**DFT formation energy**: -0.30 eV/atom
**Crystal system**: tetragonal

[2]
Below is a geometry-optimized CeHgPd2 structure, with properties calculated at the PBE level.

Cell lengths 5.510, 4.305, 7.226 Å; angles 90.00, 90.00, 90.00 degrees
Space group Pmma (No. 51)
Unique sites:
Ce1 0.250 0.000 0.242 [2 per cell]
Hg1 0.250 0.500 0.895 [2 per cell]
Pd1 0.000 0.500 0.500 [2 per cell]
Pd2 0.250 0.000 0.650 [2 per cell]

Output
**DFT formation energy**: -0.58 eV/atom
**Crystal system**: orthorhombic

[3]
Below is a geometry-optimized CeHgPd6 structure, with properties calculated at the PBE level.

Cell lengths 8.330, 5.459, 7.210 Å; angles 90.00, 106.69, 90.00 degrees
Space group C2/m (No. 12)
Unique sites:
Ce1 0.000 0.000 0.000 [2 per cell]
Hg1 0.000 0.500 0.500 [2 per cell]
Pd1 0.137 0.000 0.433 [4 per cell]
Pd2 0.206 0.241 0.801 [8 per cell]

Output
**DFT formation energy**: -0.23 eV/atom
**Crystal system**: monoclinic
**Polymorph energy (0 for the lowest one)**: 280 meV per atom

[4]
Below is a geometry-optimized Ce3HgPd6 structure, with properties calculated at the PBE level.

Cell lengths 11.4985, 11.4985, 5.8122 Å; angles 90.00, 90.00, 120.00 degrees
Space group R3m (No. 160, hexagonal axes)
Unique sites:
Ce1 0.0813 0.5406 0.0000 [9 per cell]
Hg1 0.0000 0.0000 0.0774 [3 per cell]
Pd1 0.0003 0.5002 0.5079 [9 per cell]
Pd2 0.1613 0.0807 0.6971 [9 per cell]

Output
**DFT formation energy**: -0.34 eV/atom
**Crystal system**: trigonal

[5]
Below is a geometry-optimized CePmHgPd structure, with properties calculated at the PBE level.

Cell lengths 7.418, 7.418, 7.418 Å; angles 90.00, 90.00, 90.00 degrees
Space group F-43m (No. 216)
Unique sites:
Ce1 0.000 0.000 0.000 [4 per cell]
Pm1 0.000 0.000 0.500 [4 per cell]
Hg1 0.250 0.250 0.750 [4 per cell]
Pd1 0.250 0.250 0.250 [4 per cell]

Output
**DFT formation energy**: -0.48 eV/atom
**Crystal system**: cubic

[6]
Below is a geometry-optimized CeHgPdPt structure, with properties calculated at the PBE level.

Cell lengths 6.899, 6.899, 6.899 Å; angles 90.00, 90.00, 90.00 degrees
Space group F-43m (No. 216)
Unique sites:
Ce1 0.000 0.000 0.000 [4 per cell]
Hg1 0.000 0.000 0.500 [4 per cell]
Pd1 0.250 0.250 0.750 [4 per cell]
Pt1 0.250 0.250 0.250 [4 per cell]

Output
**DFT formation energy**: -0.65 eV/atom
**Crystal system**: cubic

[7]
Below is a geometry-optimized CeHgPdRu structure, with properties calculated at the PBE level.

Cell lengths 6.766, 6.766, 6.766 Å; angles 90.00, 90.00, 90.00 degrees
Space group F-43m (No. 216)
Unique sites:
Ce1 0.000 0.000 0.000 [4 per cell]
Hg1 0.000 0.000 0.500 [4 per cell]
Pd1 0.250 0.250 0.750 [4 per cell]
Ru1 0.250 0.250 0.250 [4 per cell]

Output
**DFT formation energy**: -0.27 eV/atom
**Crystal system**: cubic

[8]
Below is a geometry-optimized CeHgSbPd structure, with properties calculated at the PBE level.

Cell lengths 7.196, 7.196, 7.196 Å; angles 90.00, 90.00, 90.00 degrees
Space group F-43m (No. 216)
Unique sites:
Ce1 0.000 0.000 0.000 [4 per cell]
Hg1 0.250 0.250 0.750 [4 per cell]
Sb1 0.000 0.000 0.500 [4 per cell]
Pd1 0.250 0.250 0.250 [4 per cell]

Output
**Crystal system**: cubic
**Formation energy from raw total energies**: -0.518 eV/atom